a | VASP calculation (PBE-GGA) on Li6ZnGa2 after structural relaxation.

Computed properties:
The value obtained for the total magnetization is 0.0 μB/f.u.

a = 13.245 Å, b = 7.730 Å, c = 2.677 Å
α = 90.00°, β = 90.27°, γ = 90.00°
Space group C2/m (No. 12)
Asymmetric unit:
Li (0.000, 0.165, 0.000) x4
Li (0.167, 0.332, 0.000) x8
Zn (0.000, 0.500, 0.500) x2
Ga (0.167, 0.000, 0.500) x4

b | VASP calculation (PBE-GGA) on Li6ZnGa2 after structural relaxation.

Computed properties:
The value obtained for the total magnetization is 0.0 μB/f.u.

a = 7.7424 Å, b = 7.7424 Å, c = 7.9389 Å
α = 90.00°, β = 90.00°, γ = 120.00°
Space group R-3m (No. 166, hexagonal axes)
Asymmetric unit:
Li (0.0000, 0.3315, 0.0000) x18
Zn (0.0000, 0.0000, 0.5000) x3
Ga (0.0000, 0.0000, 0.1699) x6

Which of them is the most stable? Correct choice: b.